Computed, not measured: a relaxed structure of DyB5Ir6 at the PBE level of DFT.

Output
N(E_F) in states/eV/cell: 2.28
Symmetry: C2/m (12)
Volume in A^3/atom: 13.0
VASP energy in eV/f.u.: -96.52

Unit cell a=5.8591 b=5.5440 c=6.3938 alpha=75.78 beta=62.30 gamma=58.10
Last column: nearest neighbours and their distance in Å.
Fractional coordinates of all 12 atoms:
B1 0.4054 0.1891 0.5000  1 B 1.78
Ir1 0.8761 0.4890 0.2526  3 B 2.06-2.16
Ir2 0.1239 0.5110 0.7474  3 B 2.06-2.16
Ir3 0.3775 0.0000 0.2598  5 B 2.02-2.25
Ir4 0.6225 0.0000 0.7402  5 B 2.02-2.25
B2 0.5946 0.8109 0.5000  1 B 1.78
Dy1 0.0000 0.0000 0.0000  8 B 3.01-3.30, 12 Ir 3.08-3.33
B3 0.0000 0.0000 0.5000  2 Ir 2.02
B4 0.6802 0.6395 0.0000  6 Ir 2.14-2.25
Ir5 0.3651 0.5110 0.2526  3 B 2.06-2.16
Ir6 0.6349 0.4890 0.7474  3 B 2.06-2.16
B5 0.3198 0.3605 0.0000  6 Ir 2.14-2.25